(1)
VASP calculation (GGA-PBE) on Li2ScAs after structural relaxation.

Unit cell a=3.9136 b=3.9105 c=6.0387 alpha=49.61 beta=90.00 gamma=90.00
Last column: nearest neighbours and their distance in Å.
Element x y z (fractional)
1 Sc 0.0000 0.6247 0.6250  4 As 2.77, 8 Li 3.01-3.02
2 As 0.5000 0.1243 0.6254  4 Sc 2.77, 8 Li 3.02
3 Li 0.0000 0.6257 0.1243  4 Li 2.77, 4 Sc 3.01-3.02, 4 As 3.02
4 Li 0.5000 0.1252 0.1253  4 Li 2.77, 4 As 3.02, 4 Sc 3.02

Output
- energy (eV per atom) = -4.35
- space group = P4/mmm, No. 123
- DOS at the Fermi energy (states/eV per atom) = 0.267
- calculated formation energy (meV per atom) = -644

(2)
VASP calculation (GGA-PBE) on Li2ScAs after structural relaxation.

Unit cell a=6.0585 b=6.0585 c=6.0585 alpha=146.55 beta=139.70 gamma=53.34
Last column: nearest neighbours and their distance in Å.
Element x y z (fractional)
1 As 0.7500 0.2500 0.5000  4 Sc 2.72, 4 Li 2.84
2 Li 0.9570 0.9570 0.0000  2 As 2.84, 4 Li 2.87, 2 Sc 3.06
3 Li 0.5430 0.5430 0.0000  2 As 2.84, 4 Li 2.87, 2 Sc 3.06
4 Sc 0.2500 0.7500 0.5000  4 As 2.72

Output
- energy (eV per atom) = -4.18
- space group = Immm, No. 71
- DOS at the Fermi energy (states/eV per atom) = 0.715
- calculated formation energy (meV per atom) = -481

(3)
VASP calculation (GGA-PBE) on Li2ScAs after structural relaxation.

Unit cell a=4.5480 b=4.5480 c=4.5480 alpha=120.21 beta=120.05 gamma=89.77
Last column: nearest neighbours and their distance in Å.
Element x y z (fractional)
1 As 0.7508 0.2508 0.5000  4 Li 2.78-2.79, 4 Sc 2.78
2 Li 0.9994 0.9994 0.0000  4 As 2.78-2.79, 4 Li 2.78-2.79
3 Li 0.2495 0.7495 0.5000  4 Li 2.78-2.79, 4 Sc 2.78
4 Sc 0.5003 0.5003 0.0000  4 Li 2.78, 4 As 2.78

Output
- energy (eV per atom) = -4.18
- space group = Imm2, No. 44
- DOS at the Fermi energy (states/eV per atom) = 0.337
- calculated formation energy (meV per atom) = -481

(4)
VASP calculation (GGA-PBE) on LiScAs2 after structural relaxation.

Unit cell a=3.1172 b=3.1172 c=7.6121 alpha=90.00 beta=90.00 gamma=90.00
Last column: nearest neighbours and their distance in Å.
Element x y z (fractional)
1 As 0.0000 0.0000 0.9982  4 Sc 2.90, 4 Li 2.92, 4 As 3.12
2 As 0.0000 0.0000 0.5018  4 Sc 2.90, 4 Li 2.92, 4 As 3.12
3 Li 0.5000 0.5000 0.2500  8 As 2.92, 4 Li 3.12
4 Sc 0.5000 0.5000 0.7500  8 As 2.90, 4 Sc 3.12

Output
- energy (eV per atom) = -5.05
- space group = P4/mmm, No. 123
- DOS at the Fermi energy (states/eV per atom) = 0.496
- relative energy among the computed polymorphs (kcal/mol of atoms) = 2.76
- calculated formation energy (meV per atom) = -662

(5)
VASP calculation (GGA-PBE) on LiScAs2 after structural relaxation.

Unit cell a=5.4936 b=5.4936 c=5.4936 alpha=139.01 beta=138.95 gamma=59.41
Last column: nearest neighbours and their distance in Å.
Element x y z (fractional)
1 As 0.9998 0.9998 0.0000  4 Li 2.72
2 As 0.7499 0.2499 0.5000  4 Sc 2.72
3 Li 0.5003 0.5003 0.0000  4 As 2.72
4 Sc 0.2501 0.7501 0.5000  4 As 2.72

Output
- energy (eV per atom) = -5.11
- space group = I-4m2, No. 119
- DOS at the Fermi energy (states/eV per atom) = 0.396
- relative energy among the computed polymorphs (kcal/mol of atoms) = 1.34
- calculated formation energy (meV per atom) = -724

(6)
VASP calculation (GGA-PBE) on LiScAs after structural relaxation.

Unit cell a=4.7420 b=4.7410 c=3.7225 alpha=66.90 beta=66.87 gamma=46.23
Last column: nearest neighbours and their distance in Å.
Element x y z (fractional)
1 As 0.0134 0.0134 0.9866  1 Li 2.47
2 Li 0.3265 0.3265 0.6735  1 As 2.47, 1 Sc 2.63
3 Sc 0.6601 0.6601 0.3399  5 Li 2.63-2.94, 5 As 2.79-2.88

Output
- energy (eV per atom) = -4.89
- space group = I4mm, No. 107
- DOS at the Fermi energy (states/eV per atom) = 0.719
- relative energy among the computed polymorphs (kcal/mol of atoms) = 6.08
- calculated formation energy (meV per atom) = -588

(7)
VASP calculation (GGA-PBE) on LiScAs3 after structural relaxation.

Unit cell a=4.5923 b=4.5923 c=4.5923 alpha=90.00 beta=90.00 gamma=90.00
Last column: nearest neighbours and their distance in Å.
Element x y z (fractional)
1 Sc 0.5000 0.5000 0.5000  12 As 3.25
2 As 0.0000 0.5000 0.0000  2 Li 2.30
3 As 0.0000 0.0000 0.5000  2 Li 2.30
4 As 0.5000 0.0000 0.0000  2 Li 2.30
5 Li 0.0000 0.0000 0.0000  6 As 2.30

Output
- energy (eV per atom) = -4.43
- space group = Pm-3m, No. 221
- DOS at the Fermi energy (states/eV per atom) = 0.637
- relative energy among the computed polymorphs (kcal/mol of atoms) = 1.10
- calculated formation energy (meV per atom) = 11

(8)
VASP calculation (GGA-PBE) on Li2ScAs2 after structural relaxation.

Unit cell a=7.5892 b=7.5892 c=3.0773 alpha=90.00 beta=90.00 gamma=90.00
Last column: nearest neighbours and their distance in Å.
Element x y z (fractional)
1 Sc 0.0000 0.0000 0.0000  4 As 2.79, 2 Sc 3.08
2 Sc 0.5000 0.5000 0.0000  4 As 2.79, 2 Sc 3.08
3 As 0.3227 0.8227 0.0000  6 Li 2.65-2.77, 2 Sc 2.79
4 As 0.8227 0.6773 0.0000  6 Li 2.65-2.77, 2 Sc 2.79
5 As 0.6773 0.1773 0.0000  6 Li 2.65-2.77, 2 Sc 2.79
6 As 0.1773 0.3227 0.0000  6 Li 2.65-2.77, 2 Sc 2.79
7 Li 0.1218 0.6218 0.5000  1 Li 2.61, 6 As 2.65-2.77
8 Li 0.6218 0.8782 0.5000  1 Li 2.61, 6 As 2.65-2.77
9 Li 0.8782 0.3782 0.5000  1 Li 2.61, 6 As 2.65-2.77
10 Li 0.3782 0.1218 0.5000  1 Li 2.61, 6 As 2.65-2.77

Output
- energy (eV per atom) = -4.52
- space group = P4/mbm, No. 127
- DOS at the Fermi energy (states/eV per atom) = 0.373
- calculated formation energy (meV per atom) = -631

(9)
VASP calculation (GGA-PBE) on LiScAs2 after structural relaxation.

Unit cell a=4.6922 b=4.6922 c=4.6922 alpha=60.00 beta=60.00 gamma=60.00
Last column: nearest neighbours and their distance in Å.
Element x y z (fractional)
1 As 0.0000 0.0000 0.0000  4 Sc 2.87, 4 As 2.87
2 As 0.2500 0.2500 0.2500  4 As 2.87, 4 Li 2.87
3 Li 0.5000 0.5000 0.5000  4 Sc 2.87, 4 As 2.87
4 Sc 0.7500 0.7500 0.7500  4 As 2.87, 4 Li 2.87

Output
- energy (eV per atom) = -4.68
- space group = F-43m, No. 216
- DOS at the Fermi energy (states/eV per atom) = 0.157
- relative energy among the computed polymorphs (kcal/mol of atoms) = 11.30
- calculated formation energy (meV per atom) = -292

(10)
VASP calculation (GGA-PBE) on Li2ScAs2 after structural relaxation.

Unit cell a=3.8071 b=3.8071 c=6.5002 alpha=72.97 beta=72.97 gamma=90.00
Last column: nearest neighbours and their distance in Å.
Element x y z (fractional)
1 Sc 0.0000 0.0000 0.0000  8 As 2.99
2 As 0.3909 0.3909 0.2183  4 Li 2.53, 1 As 2.58
3 As 0.6091 0.6091 0.7817  4 Li 2.53, 1 As 2.58
4 Li 0.7500 0.2500 0.5000  4 As 2.53, 4 Li 2.69
5 Li 0.2500 0.7500 0.5000  4 As 2.53, 4 Li 2.69

Output
- energy (eV per atom) = -4.59
- space group = I4/mmm, No. 139
- DOS at the Fermi energy (states/eV per atom) = 0.528
- calculated formation energy (meV per atom) = -694

(11)
VASP calculation (GGA-PBE) on LiScAs after structural relaxation.

Unit cell a=4.0210 b=4.0210 c=3.6852 alpha=90.00 beta=90.00 gamma=120.00
Last column: nearest neighbours and their distance in Å.
Element x y z (fractional)
1 As 0.0000 0.0000 0.1664  3 Li 2.32
2 Li 0.3333 0.6667 0.1669  3 As 2.32
3 Sc 0.6667 0.3333 0.6667  6 As 2.96, 6 Li 2.96

Output
- energy (eV per atom) = -5.12
- space group = P-6m2, No. 187
- DOS at the Fermi energy (states/eV per atom) = 0.685
- relative energy among the computed polymorphs (kcal/mol of atoms) = 0.74
- calculated formation energy (meV per atom) = -819

(12)
VASP calculation (GGA-PBE) on LiScAs2Se after structural relaxation.

Unit cell a=4.4008 b=4.4008 c=5.1225 alpha=90.00 beta=90.00 gamma=90.00
Last column: nearest neighbours and their distance in Å.
Element x y z (fractional)
1 Sc 0.5000 0.5000 0.5000  4 Se 3.11, 8 As 3.38
2 As 0.0000 0.5000 0.0000  2 Li 2.20
3 As 0.5000 0.0000 0.0000  2 Li 2.20
4 Se 0.0000 0.0000 0.5000  2 Li 2.56
5 Li 0.0000 0.0000 0.0000  4 As 2.20

Output
- energy (eV per atom) = -4.30
- space group = P4/mmm, No. 123
- DOS at the Fermi energy (states/eV per atom) = 0.560
- relative energy among the computed polymorphs (kcal/mol of atoms) = 3.15
- formation energy (no corrections) (meV per atom) = -92

(13)
VASP calculation (GGA-PBE) on LiScAs2Se after structural relaxation.

Unit cell a=5.1228 b=5.1228 c=5.2063 alpha=90.00 beta=90.00 gamma=90.00
Last column: nearest neighbours and their distance in Å.
Element x y z (fractional)
1 Sc 0.0000 0.0000 0.0000  4 As 2.56, 2 Se 2.60
2 As 0.0000 0.5000 0.0000  2 Sc 2.56
3 As 0.5000 0.0000 0.0000  2 Sc 2.56
4 Se 0.0000 0.0000 0.5000  2 Sc 2.60
5 Li 0.5000 0.5000 0.5000  4 Se 3.62, 8 As 3.65

Output
- energy (eV per atom) = -4.43
- space group = P4/mmm, No. 123
- DOS at the Fermi energy (states/eV per atom) = 0.841
- relative energy among the computed polymorphs (kcal/mol of atoms) = 0.00
- formation energy (no corrections) (meV per atom) = -229

(14)
VASP calculation (GGA-PBE) on LiSc2AsSe after structural relaxation.

Unit cell a=4.9881 b=5.3799 c=4.9881 alpha=90.00 beta=90.00 gamma=90.00
Last column: nearest neighbours and their distance in Å.
Element x y z (fractional)
1 Sc 0.0000 0.0000 0.5000  2 Se 2.49
2 Sc 0.5000 0.0000 0.0000  2 Se 2.49
3 As 0.0000 0.5000 0.0000  2 Se 2.69
4 Se 0.0000 0.0000 0.0000  4 Sc 2.49, 2 As 2.69
5 Li 0.5000 0.5000 0.5000  4 As 3.53, 8 Sc 3.67

Output
- energy (eV per atom) = -4.67
- space group = P4/mmm, No. 123
- DOS at the Fermi energy (states/eV per atom) = 1.490
- formation energy (no corrections) (meV per atom) = -127

(15)
VASP calculation (GGA-PBE) on LiSc2TiAs after structural relaxation.

Unit cell a=4.6922 b=4.4451 c=4.6922 alpha=90.00 beta=90.00 gamma=90.00
Last column: nearest neighbours and their distance in Å.
Element x y z (fractional)
1 Sc 0.0000 0.0000 0.5000  2 Li 2.35
2 Sc 0.5000 0.0000 0.0000  2 Li 2.35
3 As 0.5000 0.5000 0.5000  8 Sc 3.23, 4 Ti 3.32
4 Li 0.0000 0.0000 0.0000  2 Ti 2.22, 4 Sc 2.35
5 Ti 0.0000 0.5000 0.0000  2 Li 2.22

Output
- energy (eV per atom) = -5.05
- space group = P4/mmm, No. 123
- DOS at the Fermi energy (states/eV per atom) = 0.880
- calculated formation energy (meV per atom) = 373